Entry i
DFT (PBE-GGA) results for a relaxed structure of ZrAgSe3.

a b c (Å): 7.357 3.860 9.376
angles (deg): 90.00 90.35 90.00
Space group P2_1/m (No. 11)
Symmetry-distinct sites (fractional):
Zr 0.075 0.250 0.165 (multiplicity 2)
Ag 0.393 0.250 0.603 (multiplicity 2)
Se 0.048 0.250 0.664 (multiplicity 2)
Se 0.229 0.750 0.998 (multiplicity 2)
Se 0.393 0.250 0.313 (multiplicity 2)

=====

Entry ii
DFT (PBE-GGA) results for a relaxed structure of ZrAgSe3.

a b c (Å): 5.230 5.230 5.230
angles (deg): 90.00 90.00 90.00
Space group Pm-3m (No. 221)
Symmetry-distinct sites (fractional):
Zr 0.000 0.000 0.000 (multiplicity 1)
Ag 0.500 0.500 0.500 (multiplicity 1)
Se 0.000 0.000 0.500 (multiplicity 3)

=====

Which of them is the most stable? Correct choice: entry i.

=====

Entry i
DFT (PBE-GGA) results for a relaxed structure of Zr2AgSe4.

a b c (Å): 3.822 12.577 13.635
angles (deg): 90.00 90.00 90.00
Space group Cmcm (No. 63)
Symmetry-distinct sites (fractional):
Zr 0.000 0.134 0.067 (multiplicity 8)
Ag 0.000 0.395 0.250 (multiplicity 4)
Se 0.000 0.051 0.250 (multiplicity 4)
Se 0.000 0.221 0.618 (multiplicity 8)
Se 0.000 0.500 0.000 (multiplicity 4)

=====

Entry ii
DFT (PBE-GGA) results for a relaxed structure of Zr2AgSe4.

a b c (Å): 7.9791 7.9791 19.5296
angles (deg): 90.00 90.00 120.00
Space group R-3m (No. 166, hexagonal axes)
Symmetry-distinct sites (fractional):
Zr 0.0000 0.0000 0.0000 (multiplicity 3)
Zr 0.0000 0.5000 0.5000 (multiplicity 9)
Ag 0.0000 0.0000 0.3750 (multiplicity 6)
Se 0.0000 0.0000 0.2420 (multiplicity 6)
Se 0.0208 0.5104 0.7528 (multiplicity 18)

=====

Which of them is the most stable? Correct choice: entry ii.